Entry 1:
# LiHgAu2 | Alexandria via LeMat-Bulk | GGA-PBE | relaxed
# Density, Mg/m³: 13.8
# VASP energy, eV per cell: -19.855
data_LiHgAu2
_chemical_formula_sum 'Li2 Hg2 Au4'
_cell_length_a 9.243
_cell_length_b 4.196
_cell_length_c 4.158
_cell_angle_alpha 90.00
_cell_angle_beta 116.30
_cell_angle_gamma 90.00
_symmetry_space_group_name_H-M 'C 1 m 1'
_symmetry_Int_Tables_number 8
loop_
_symmetry_equiv_pos_as_xyz
'x,y,z'
'x,-y,z'
'x+1/2,y+1/2,z'
'x+1/2,-y+1/2,z'
loop_
_atom_site_label
_atom_site_type_symbol
_atom_site_fract_x
_atom_site_fract_y
_atom_site_fract_z
Li1 Li 0.000 0.000 0.000
Hg1 Hg 0.249 0.500 0.248
Au1 Au 0.000 0.500 0.501
Au2 Au 0.251 0.000 0.753

=====

Entry 2:
# ReOF3 | Alexandria via LeMat-Bulk | GGA-PBE | relaxed
# Density, Mg/m³: 5.7
# Formation energy from raw total energies, eV/atom: -1.882
data_ReOF3
_chemical_formula_sum 'Re4 O4 F12'
_cell_length_a 8.244
_cell_length_b 9.178
_cell_length_c 4.002
_cell_angle_alpha 90.00
_cell_angle_beta 94.96
_cell_angle_gamma 90.00
_symmetry_space_group_name_H-M 'C 1 2/m 1'
_symmetry_Int_Tables_number 12
loop_
_symmetry_equiv_pos_as_xyz
'x,y,z'
'-x,-y,-z'
'-x,y,-z'
'x,-y,z'
'x+1/2,y+1/2,z'
'-x+1/2,-y+1/2,-z'
'-x+1/2,y+1/2,-z'
'x+1/2,-y+1/2,z'
loop_
_atom_site_label
_atom_site_type_symbol
_atom_site_fract_x
_atom_site_fract_y
_atom_site_fract_z
Re1 Re 0.125 0.000 0.208
O1 O 0.114 0.000 0.711
F1 F 0.130 0.205 0.226
F2 F 0.147 0.500 0.766

=====

Entry 3:
# Ce2Zn12Pd5 | Alexandria via LeMat-Bulk | GGA-PBE | relaxed
# Density, Mg/m³: 8.3
# VASP energy, eV per cell: -182.016
data_Ce2Zn12Pd5
_chemical_formula_sum 'Ce6 Zn36 Pd15'
_cell_length_a 9.1949
_cell_length_b 9.1949
_cell_length_c 13.0952
_cell_angle_alpha 90.00
_cell_angle_beta 90.00
_cell_angle_gamma 120.00
_symmetry_space_group_name_H-M 'R -3 m'
_symmetry_Int_Tables_number 166
_symmetry_space_group_name_Hall '-R 3 2"'
loop_
_atom_site_label
_atom_site_type_symbol
_atom_site_fract_x
_atom_site_fract_y
_atom_site_fract_z
Ce1 Ce 0.0000 0.0000 0.1693
Zn1 Zn 0.0000 0.2887 0.5000
Zn2 Zn 0.0038 0.5019 0.6520
Pd1 Pd 0.0000 0.0000 0.3935
Pd2 Pd 0.0000 0.5000 0.0000

=====

Entry 4:
# Hg5O4 | Alexandria via LeMat-Bulk | GGA-PBE | relaxed
# Density, Mg/m³: 10.3
# Formation energy from raw total energies, eV/atom: -0.108
data_Hg5O4
_chemical_formula_sum 'Hg10 O8'
_cell_length_a 9.593
_cell_length_b 9.593
_cell_length_c 3.756
_cell_angle_alpha 90.00
_cell_angle_beta 90.00
_cell_angle_gamma 90.00
_symmetry_space_group_name_H-M 'I 4/m'
_symmetry_Int_Tables_number 87
_symmetry_space_group_name_Hall '-I 4'
loop_
_atom_site_label
_atom_site_type_symbol
_atom_site_fract_x
_atom_site_fract_y
_atom_site_fract_z
Hg1 Hg 0.000 0.000 0.000
Hg2 Hg 0.138 0.701 0.500
O1 O 0.010 0.757 0.000

=====

Entry 5:
# Ga3FeCo4 | Alexandria via LeMat-Bulk | GGA-PBE | relaxed
# Density, Mg/m³: 8.8
# VASP energy, eV per cell: -47.804
data_Ga3FeCo4
_chemical_formula_sum 'Ga3 Fe1 Co4'
_cell_length_a 2.877
_cell_length_b 2.877
_cell_length_c 11.473
_cell_angle_alpha 90.00
_cell_angle_beta 90.00
_cell_angle_gamma 90.00
_symmetry_space_group_name_H-M 'P 4/m m m'
_symmetry_Int_Tables_number 123
_symmetry_space_group_name_Hall '-P 4 2'
loop_
_atom_site_label
_atom_site_type_symbol
_atom_site_fract_x
_atom_site_fract_y
_atom_site_fract_z
Ga1 Ga 0.000 0.000 0.000
Ga2 Ga 0.000 0.000 0.253
Fe1 Fe 0.000 0.000 0.500
Co1 Co 0.500 0.500 0.126
Co2 Co 0.500 0.500 0.380

=====

Entry 6:
# AcEr2TmTl4 | Alexandria via LeMat-Bulk | GGA-PBE | relaxed
# Density, Mg/m³: 11.0
# VASP energy, eV per cell: -88.406
data_AcEr2TmTl4
_chemical_formula_sum 'Ac3 Er6 Tm3 Tl12'
_cell_length_a 5.4514
_cell_length_b 5.4514
_cell_length_c 27.1261
_cell_angle_alpha 90.00
_cell_angle_beta 90.00
_cell_angle_gamma 120.00
_symmetry_space_group_name_H-M 'R -3 m'
_symmetry_Int_Tables_number 166
_symmetry_space_group_name_Hall '-R 3 2"'
loop_
_atom_site_label
_atom_site_type_symbol
_atom_site_fract_x
_atom_site_fract_y
_atom_site_fract_z
Ac1 Ac 0.0000 0.0000 0.0000
Er1 Er 0.0000 0.0000 0.2478
Tm1 Tm 0.0000 0.0000 0.5000
Tl1 Tl 0.0000 0.0000 0.1290
Tl2 Tl 0.0000 0.0000 0.3811

=====

Entry 7:
# BaCd2HgAu | Alexandria via LeMat-Bulk | GGA-PBE | relaxed
# Density, Mg/m³: 8.1
# VASP energy, eV per cell: -8.484
data_BaCd2HgAu
_chemical_formula_sum 'Ba1 Cd2 Hg1 Au1'
_cell_length_a 5.353
_cell_length_b 5.353
_cell_length_c 5.440
_cell_angle_alpha 90.00
_cell_angle_beta 90.00
_cell_angle_gamma 90.00
_symmetry_space_group_name_H-M 'P 4/m m m'
_symmetry_Int_Tables_number 123
_symmetry_space_group_name_Hall '-P 4 2'
loop_
_atom_site_label
_atom_site_type_symbol
_atom_site_fract_x
_atom_site_fract_y
_atom_site_fract_z
Ba1 Ba 0.000 0.000 0.000
Cd1 Cd 0.000 0.500 0.500
Hg1 Hg 0.500 0.500 0.000
Au1 Au 0.500 0.500 0.500

=====

Entry 8:
# Ce2Er2Se7 | Alexandria via LeMat-Bulk | GGA-PBE | relaxed
# Density, Mg/m³: 7.2
# Formation energy from raw total energies, eV/atom: -1.694
data_Ce2Er2Se7
_chemical_formula_sum 'Ce4 Er4 Se14'
_cell_length_a 4.101
_cell_length_b 14.589
_cell_length_c 9.047
_cell_angle_alpha 90.00
_cell_angle_beta 90.00
_cell_angle_gamma 90.00
_symmetry_space_group_name_H-M 'I m m 2'
_symmetry_Int_Tables_number 44
loop_
_symmetry_equiv_pos_as_xyz
'x,y,z'
'-x,-y,z'
'-x,y,z'
'x,-y,z'
'x+1/2,y+1/2,z+1/2'
'-x+1/2,-y+1/2,z+1/2'
'-x+1/2,y+1/2,z+1/2'
'x+1/2,-y+1/2,z+1/2'
loop_
_atom_site_label
_atom_site_type_symbol
_atom_site_fract_x
_atom_site_fract_y
_atom_site_fract_z
Ce1 Ce 0.000 0.240 0.000
Er1 Er 0.000 0.000 0.239
Er2 Er 0.000 0.500 0.197
Se1 Se 0.000 0.000 0.920
Se2 Se 0.000 0.109 0.516
Se3 Se 0.000 0.317 0.301
Se4 Se 0.000 0.363 0.694